[1]
Here is a relaxed structure of PrNd2Ni from Alexandria via LeMat-Bulk. Energies are from GGA-PBE.

Cell: 6.546 7.088 10.021 Å, 90.00 90.00 90.00°
Fractional coordinates of all 16 atoms:
Ni1 0.071 0.387 0.250
Nd1 0.826 0.324 0.567
Nd2 0.826 0.324 0.933
Ni2 0.429 0.887 0.250
Pr1 0.145 0.966 0.750
Pr2 0.355 0.466 0.750
Nd3 0.174 0.676 0.433
Ni3 0.571 0.113 0.750
Ni4 0.929 0.613 0.750
Pr3 0.855 0.034 0.250
Pr4 0.645 0.534 0.250
Nd4 0.674 0.824 0.567
Nd5 0.674 0.824 0.933
Nd6 0.326 0.176 0.067
Nd7 0.326 0.176 0.433
Nd8 0.174 0.676 0.067

Properties
Formation enthalpy at 0 K = -0.167 eV/atom
SG = Pnma
Magnetization = 0.0 μB/f.u.
E = -5.19 eV/atom
Density = 6.97 g/cm3
Relative energy among the computed polymorphs = 0 meV/atom

[2]
Here is a relaxed structure of Pr2Nd2Ni from Alexandria via LeMat-Bulk. Energies are from GGA-PBE.

Cell: 3.800 6.416 13.221 Å, 85.35 81.74 72.77°
Fractional coordinates of all 10 atoms:
Pr1 0.995 0.182 0.828
Nd1 0.116 0.219 0.550
Pr2 0.330 0.647 0.692
Nd2 0.327 0.281 0.066
Ni1 0.351 0.982 0.316
Pr3 0.670 0.353 0.308
Nd3 0.884 0.781 0.450
Pr4 0.005 0.818 0.172
Ni2 0.649 0.018 0.684
Nd4 0.673 0.719 0.934

Properties
Formation enthalpy at 0 K = -0.109 eV/atom
SG = C2/m
Magnetization = 0.0 μB/f.u.
E = -5.08 eV/atom
Density = 6.86 g/cm3

Q: What is the E in the first record?
A: -5.19 eV/atom